ZnCo2 after structural relaxation, computed with PBE.

a = 2.516 Å, b = 2.516 Å, c = 23.164 Å
α = 90.00°, β = 90.00°, γ = 90.00°
Space group I4_1/amd (No. 141, origin choice 2)
Asymmetric unit:
Zn1 0.000 0.250 0.375 [4 per cell]
Co1 0.000 0.250 0.792 [8 per cell]

Output
Crystal system: tetragonal
Density of states at the Fermi level: 0.995 states/eV per atom
Final energy: -4.963 eV/atom
M_tot: 2.97 μB per formula unit

Zn17Co3 after structural relaxation, computed with PBE.

a = 11.2283 Å, b = 11.2283 Å, c = 7.6573 Å
α = 90.00°, β = 90.00°, γ = 120.00°
Space group P6_2 (No. 171)
Asymmetric unit:
Zn1 0.0000 0.5000 0.0059 [3 per cell]
Zn2 0.0225 0.8134 0.6781 [6 per cell]
Zn3 0.0704 0.7559 0.0000 [6 per cell]
Zn4 0.0702 0.8501 0.3220 [6 per cell]
Zn5 0.1080 0.6277 0.7086 [6 per cell]
Zn6 0.1105 0.6313 0.3093 [6 per cell]
Zn7 0.1124 0.4281 0.5070 [6 per cell]
Zn8 0.1564 0.4239 0.1778 [6 per cell]
Zn9 0.2781 0.6617 0.0000 [6 per cell]
Co1 0.0000 0.0000 0.1662 [3 per cell]
Co2 0.1395 0.4253 0.8378 [6 per cell]

Output
Crystal system: hexagonal
Density of states at the Fermi level: 0.294 states/eV per atom
Final energy: -2.221 eV/atom
M_tot: 0.93 μB per formula unit

Zn2Co after structural relaxation, computed with PBE.

a = 2.620 Å, b = 2.620 Å, c = 23.635 Å
α = 90.00°, β = 90.00°, γ = 90.00°
Space group I4_1/amd (No. 141, origin choice 2)
Asymmetric unit:
Zn1 0.000 0.250 0.300 [8 per cell]
Co1 0.000 0.250 0.875 [4 per cell]

Output
Crystal system: tetragonal
Density of states at the Fermi level: 1.221 states/eV per atom
Final energy: -3.172 eV/atom
M_tot: 0.99 μB per formula unit

ZnCo after structural relaxation, computed with PBE.

a = 9.613 Å, b = 2.620 Å, c = 6.060 Å
α = 90.00°, β = 105.62°, γ = 90.00°
Space group Cm (No. 8)
Asymmetric unit:
Zn1 0.000 0.000 0.000 [2 per cell]
Zn2 0.044 0.000 0.604 [2 per cell]
Zn3 0.371 0.000 0.264 [2 per cell]
Co1 0.164 0.500 0.341 [2 per cell]
Co2 0.217 0.500 0.929 [2 per cell]
Co3 0.317 0.000 0.663 [2 per cell]

Output
Crystal system: monoclinic
Density of states at the Fermi level: 0.999 states/eV per atom
Final energy: -4.167 eV/atom
M_tot: 1.27 μB per formula unit

Zn5Co4 after structural relaxation, computed with PBE.

a = 7.2095 Å, b = 7.2095 Å, c = 4.9396 Å
α = 90.00°, β = 90.00°, γ = 120.00°
Space group P6_3/mcm (No. 193)
Asymmetric unit:
Zn1 0.0000 0.3093 0.2500 [6 per cell]
Zn2 0.3333 0.6667 0.0000 [4 per cell]
Co1 0.0000 0.0000 0.0000 [2 per cell]
Co2 0.0000 0.3533 0.7500 [6 per cell]

Output
Crystal system: hexagonal
Density of states at the Fermi level: 0.696 states/eV per atom
Final energy: -3.787 eV/atom
M_tot: 0.65 μB per formula unit
Excess energy over the best structure of this formula in the dataset: 77.3 meV/atom

Zn5Co after structural relaxation, computed with PBE.

a = 4.226 Å, b = 2.707 Å, c = 14.559 Å
α = 90.00°, β = 90.00°, γ = 90.00°
Space group Amm2 (No. 38)
Asymmetric unit:
Zn1 0.000 0.000 0.000 [2 per cell]
Zn2 0.000 0.000 0.302 [2 per cell]
Zn3 0.500 0.000 0.103 [2 per cell]
Zn4 0.500 0.000 0.426 [2 per cell]
Zn5 0.500 0.000 0.756 [2 per cell]
Co1 0.000 0.000 0.652 [2 per cell]

Output
Crystal system: orthorhombic
Density of states at the Fermi level: 0.595 states/eV per atom
Final energy: -2.248 eV/atom
M_tot: 0.02 μB per formula unit

Zn5Co after structural relaxation, computed with PBE.

a = 9.790 Å, b = 2.740 Å, c = 6.365 Å
α = 90.00°, β = 105.25°, γ = 90.00°
Space group Cm (No. 8)
Asymmetric unit:
Zn1 0.000 0.000 0.000 [2 per cell]
Zn2 0.047 0.000 0.621 [2 per cell]
Zn3 0.175 0.500 0.363 [2 per cell]
Zn4 0.229 0.500 0.927 [2 per cell]
Zn5 0.387 0.000 0.287 [2 per cell]
Co1 0.334 0.000 0.669 [2 per cell]

Output
Crystal system: monoclinic
Density of states at the Fermi level: 0.603 states/eV per atom
Final energy: -2.250 eV/atom
M_tot: 0.00 μB per formula unit

ZnCo after structural relaxation, computed with PBE.

a = 4.834 Å, b = 4.834 Å, c = 4.834 Å
α = 90.00°, β = 90.00°, γ = 90.00°
Space group Fm-3m (No. 225)
Asymmetric unit:
Zn1 0.000 0.000 0.000 [4 per cell]
Co1 0.000 0.000 0.500 [4 per cell]

Output
Crystal system: cubic
Density of states at the Fermi level: 2.143 states/eV per atom
Final energy: -3.623 eV/atom
M_tot: 1.16 μB per formula unit

Zn11Co2 after structural relaxation, computed with PBE.

a = 8.963 Å, b = 8.963 Å, c = 8.963 Å
α = 90.00°, β = 90.00°, γ = 90.00°
Space group I-43m (No. 217)
Asymmetric unit:
Zn1 0.000 0.000 0.355 [12 per cell]
Zn2 0.048 0.305 0.305 [24 per cell]
Zn3 0.103 0.103 0.103 [8 per cell]
Co1 0.172 0.172 0.828 [8 per cell]

Output
Crystal system: cubic
Density of states at the Fermi level: 0.487 states/eV per atom
Final energy: -2.256 eV/atom
M_tot: 1.48 μB per formula unit

ZnCo3 after structural relaxation, computed with PBE.

a = 2.622 Å, b = 8.257 Å, c = 4.260 Å
α = 90.00°, β = 90.00°, γ = 90.00°
Space group Imm2 (No. 44)
Asymmetric unit:
Zn1 0.000 0.000 0.000 [2 per cell]
Co1 0.000 0.242 0.383 [4 per cell]
Co2 0.000 0.500 0.003 [2 per cell]

Output
Crystal system: orthorhombic
Density of states at the Fermi level: 0.986 states/eV per atom
Final energy: -5.597 eV/atom
M_tot: 4.48 μB per formula unit

ZnCo3 after structural relaxation, computed with PBE.

a = 8.459 Å, b = 2.573 Å, c = 4.342 Å
α = 90.00°, β = 102.04°, γ = 90.00°
Space group C2/m (No. 12)
Asymmetric unit:
Zn1 0.000 0.000 0.000 [2 per cell]
Co1 0.000 0.500 0.500 [2 per cell]
Co2 0.243 0.000 0.738 [4 per cell]

Output
Crystal system: monoclinic
Density of states at the Fermi level: 1.338 states/eV per atom
Final energy: -5.605 eV/atom
M_tot: 4.58 μB per formula unit

ZnCo3 after structural relaxation, computed with PBE.

a = 2.5473 Å, b = 2.5473 Å, c = 24.7348 Å
α = 90.00°, β = 90.00°, γ = 120.00°
Space group R-3m (No. 166, hexagonal axes)
Asymmetric unit:
Zn1 0.0000 0.0000 0.0000 [3 per cell]
Co1 0.0000 0.0000 0.2462 [6 per cell]
Co2 0.0000 0.0000 0.5000 [3 per cell]

Output
Crystal system: trigonal
Density of states at the Fermi level: 0.925 states/eV per atom
Final energy: -5.618 eV/atom
M_tot: 4.74 μB per formula unit